# Ba3Ge8Pd3

Ba3Ge8Pd3 after structural relaxation (GGA-PBE, the Alexandria database).

a = 4.3742 Å, b = 11.1336 Å, c = 13.2984 Å
α = 90.00°, β = 90.00°, γ = 90.00°
Closest atoms and distances in Å follow each position.
Space group Immm (No. 71)
Inequivalent atoms, fractional coordinates:
Ba1 0.0000 0.0000 0.0000  12 Ge 3.51-3.65, 4 Pd 3.89
Ba2 0.0000 0.0000 0.3023  8 Ge 3.32-3.39, 4 Pd 3.42-3.53
Ge1 0.0000 0.2960 0.1187  3 Pd 2.70-2.77, 3 Ge 2.73-3.00
Ge2 0.0000 0.3424 0.3411  1 Pd 2.57, 2 Ge 2.73
Pd1 0.0000 0.2114 0.5000  6 Ge 2.57-2.70
Pd2 0.0000 0.5000 0.0000  4 Ge 2.77

Summary:
The energy relative to the lowest polymorph listed for this composition is 0.651 eV per formula unit. For the formation energy, the calculation gives -0.40 eV/atom.